NbGeRuO2 | meta-GGA SCAN | single point on PBEsol structure

```
NbGeRuO2
1.0
3.651 0.000 0.000
0.000 3.651 0.000
0.000 0.000 5.808
Nb Ge Ru O
1 1 1 2
Direct
0.000 0.000 0.000 Nb
0.500 0.500 0.000 Ge
0.000 0.000 0.500 Ru
0.000 0.500 0.500 O
0.500 0.000 0.500 O
```

## Properties
Crystal system: tetragonal
SG: P4/mmm
Uncorrected formation energy (kJ/mol of atoms): -31.7
Raw total energy (eV/atom): -20.23


PPtPb | meta-GGA SCAN | single point on PBEsol structure

```
PPtPb
1.0
6.397 0.000 0.000
0.000 6.397 0.000
0.000 0.000 6.397
P Pt Pb
4 4 4
Direct
0.000 0.000 0.000 P
0.000 0.500 0.500 P
0.500 0.000 0.500 P
0.500 0.500 0.000 P
0.000 0.000 0.500 Pt
0.000 0.500 0.000 Pt
0.500 0.000 0.000 Pt
0.500 0.500 0.500 Pt
0.250 0.250 0.750 Pb
0.250 0.750 0.250 Pb
0.750 0.250 0.250 Pb
0.750 0.750 0.750 Pb
```

## Properties
Crystal system: cubic
Energy relative to the elements (eV/f.u.): 2.159
SG: F-43m
Raw total energy (eV/atom): -51.40